--- one ---
This record from Alexandria via LeMat-Bulk describes a relaxed Sr2CdF crystal. The functional is GGA-PBE.

The density of states at the Fermi level comes out at 17.02 states/eV per cell. Its size of the total moment is 0.000 μB/f.u.

The structure belongs to space group Fm-3m (No. 225); the cell edges are 7.8991, 7.8991 and 7.8991 Å and the angles 90.00°, 90.00° and 90.00°. The asymmetric unit holds Sr at (0.2500, 0.2500, 0.2500), Cd at (0.0000, 0.0000, 0.0000) and F at (0.0000, 0.0000, 0.5000).

---

--- two ---
This record from Alexandria via LeMat-Bulk describes a relaxed Sr2CdF crystal. The functional is GGA-PBE.

The density of states at the Fermi level comes out at 8.80 states/eV per cell. Its size of the total moment is 1.052 μB/f.u.

The structure belongs to space group R-3m (No. 166, hexagonal axes); the cell edges are 3.9906, 3.9906 and 29.9572 Å and the angles 90.00°, 90.00° and 120.00°. The asymmetric unit holds Sr at (0.0000, 0.0000, 0.1128), Cd at (0.0000, 0.0000, 0.0000) and F at (0.0000, 0.0000, 0.5000).

---

--- three ---
This record from Alexandria via LeMat-Bulk describes a relaxed Sr2CdF crystal. The functional is GGA-PBE.

The density of states at the Fermi level comes out at 5.77 states/eV per cell. Its size of the total moment is 0.000 μB/f.u.

The structure belongs to space group I-42d (No. 122); the cell edges are 7.6161, 7.6161 and 8.7024 Å and the angles 90.00°, 90.00° and 90.00°. The asymmetric unit holds Sr at (0.1604, 0.2500, 0.1250), Cd at (0.0000, 0.0000, 0.5000) and F at (0.0000, 0.0000, 0.0000).

---

Stability, descending: three, two, one

---

--- one ---
This record from Alexandria via LeMat-Bulk describes a relaxed SrCd2F crystal. The functional is GGA-PBE.

The density of states at the Fermi level comes out at 8.85 states/eV per cell. Its size of the total moment is 0.000 μB/f.u.

The structure belongs to space group Fm-3m (No. 225); the cell edges are 7.6014, 7.6014 and 7.6014 Å and the angles 90.00°, 90.00° and 90.00°. The asymmetric unit holds Sr at (0.0000, 0.0000, 0.0000), Cd at (0.2500, 0.2500, 0.2500) and F at (0.0000, 0.0000, 0.5000).

---

--- two ---
This record from Alexandria via LeMat-Bulk describes a relaxed SrCd2F crystal. The functional is GGA-PBE.

The density of states at the Fermi level comes out at 9.14 states/eV per cell. Its size of the total moment is 0.000 μB/f.u.

The structure belongs to space group I-42d (No. 122); the cell edges are 10.0857, 10.0857 and 4.7336 Å and the angles 90.00°, 90.00° and 90.00°. The asymmetric unit holds Sr at (0.0000, 0.0000, 0.0000), Cd at (0.1708, 0.2500, 0.6250) and F at (0.0000, 0.0000, 0.5000).

---

Stability, descending: two, one

---

--- one ---
This record from Alexandria via LeMat-Bulk describes a relaxed SrCd3F crystal. The functional is GGA-PBE.

The density of states at the Fermi level comes out at 1.69 states/eV per cell. Its size of the total moment is 0.000 μB/f.u.

The structure belongs to space group Pm-3m (No. 221); the cell edges are 5.1551, 5.1551 and 5.1551 Å and the angles 90.00°, 90.00° and 90.00°. The asymmetric unit holds Sr at (0.0000, 0.0000, 0.0000), Cd at (0.0000, 0.5000, 0.5000) and F at (0.5000, 0.5000, 0.5000).

---

--- two ---
This record from Alexandria via LeMat-Bulk describes a relaxed SrCd3F crystal. The functional is GGA-PBE.

The density of states at the Fermi level comes out at 2.54 states/eV per cell. Its size of the total moment is 0.000 μB/f.u.

The structure belongs to space group Pm-3m (No. 221); the cell edges are 6.6290, 6.6290 and 6.6290 Å and the angles 90.00°, 90.00° and 90.00°. The asymmetric unit holds Sr at (0.0000, 0.0000, 0.0000), Cd at (0.0000, 0.0000, 0.5000) and F at (0.5000, 0.5000, 0.5000).

---

Stability, descending: one, two